VASP calculation (GGA-PBE) on crystalline PuHgPb2 at its relaxed geometry. Values from VASP.

Results
D(E_F)	3.95	states/eV per atom
calculated density	12.34	g/cm3
formation energy from the elements	-0.0382	eV/atom
calculated volume	28.89	Å³/atom

Quantum ESPRESSO input file:
```
&SYSTEM
  ibrav = 0, nat = 4, ntyp = 3
/
ATOMIC_SPECIES
Pu 244.00 Pu.upf
Hg 200.59 Hg.upf
Pb 207.20 Pb.upf
CELL_PARAMETERS angstrom
0.0000 3.8661 3.8661
3.8661 0.0000 3.8661
3.8661 3.8661 0.0000
ATOMIC_POSITIONS crystal
Pu 0.0000 0.0000 0.0000
Hg 0.7500 0.7500 0.7500
Pb 0.2500 0.2500 0.2500
Pb 0.5000 0.5000 0.5000
```